Here is an optimized crystal structure of Ti8Nb3In3 from Alexandria. Energies are from GGA-PBE.

POSCAR file:
```
Ti8Nb3In3
1.0
-2.0720 -0.8365 -1.8398
-1.3390 -8.0594 5.1725
-4.3827 10.2407 2.5566
Ti Nb In
8 3 3
Cartesian
-4.5196 -1.9765 5.9887
-3.2741 3.3213 -0.0995
-5.3020 3.0029 4.6060
-2.4917 -1.6581 1.2833
-2.5293 -2.8959 4.1653
-5.2644 4.2407 1.7239
-3.1677 -0.3072 3.7071
-4.6261 1.6520 2.1821
-1.0361 -0.4182 -0.9199
-1.7259 -5.5347 4.4602
-6.0679 6.8795 1.4290
-6.0882 5.7927 4.2229
-1.8186 1.2032 1.5010
-5.9752 0.1415 4.3881
```

Values from the calculation:
Magnetic moment: 0.0 μB per cell
DFT total energy: -7.215 eV per atom
Crystal system: monoclinic
Energy of formation: 0.04 eV per atom